Cs2CoPdCl6: relaxed, GGA-PBE.

Lattice parameters (Å, degrees): 7.370 7.370 7.370 122.60 122.60 85.55
Element x y z (fractional)
1 Cl 0.762 0.762 0.523
2 Cl 0.238 0.762 0.000
3 Cl 0.238 0.238 0.477
4 Cl 0.705 0.705 0.000
5 Cl 0.295 0.295 0.000
6 Cl 0.762 0.238 0.000
7 Cs 0.250 0.750 0.500
8 Cs 0.750 0.250 0.500
9 Pd 0.000 0.000 0.000
10 Co 0.500 0.500 0.000

Uncorrected energy   -35.8 eV for the cell shown
Crystal system   tetragonal
ρ   3.95 g/cm3